SrCeCu2Se4: relaxed, PBE.

The structure in POSCAR format:
```
SrCeCu2Se4
1.0
-0.854 -6.374 -2.319
-1.487 -4.871 3.858
-5.753 -2.365 -1.460
Se Sr Cu Ce
4 1 2 1
direct
0.957 0.507 0.076 Se
0.043 0.924 0.493 Se
0.460 0.076 0.507 Se
0.540 0.493 0.924 Se
0.000 0.000 0.000 Sr
0.836 0.664 0.664 Cu
0.164 0.336 0.336 Cu
0.500 0.500 0.500 Ce
```

Computed properties:
formation energy from raw total energies	-1040.7	meV per atom